VASP calculation (GGA-PBE) on an optimized crystal structure of CsNaIn2S.

abc: 5.752 5.752 6.486
angles: 90.00 90.00 90.00
Sites, in units of the cell vectors:
Cs (0.000, 0.000, 0.000)
Na (0.500, 0.500, 0.000)
In (0.000, 0.500, 0.500)
In (0.500, 0.000, 0.500)
S (0.000, 0.000, 0.500)

For the density of states at the Fermi level, the calculation gives 0.613 states/eV per atom. For the energy relative to the elements, uncorrected, the calculation gives -0.14 eV per formula unit.


VASP calculation (GGA-PBE) on an optimized crystal structure of NpGa12Ir4.

abc: 7.635 7.635 7.635
angles: 109.47 109.47 109.47
Sites, in units of the cell vectors:
Np (0.000, 0.000, 0.000)
Ga (0.158, 0.336, 0.493)
Ga (0.158, 0.664, 0.822)
Ga (0.178, 0.842, 0.336)
Ga (0.336, 0.178, 0.842)
Ga (0.336, 0.493, 0.158)
Ga (0.493, 0.158, 0.336)
Ga (0.507, 0.842, 0.664)
Ga (0.664, 0.507, 0.842)
Ga (0.664, 0.822, 0.158)
Ga (0.822, 0.158, 0.664)
Ga (0.842, 0.336, 0.178)
Ga (0.842, 0.664, 0.507)
Ir (0.000, 0.000, 0.500)
Ir (0.000, 0.500, 0.000)
Ir (0.500, 0.000, 0.000)
Ir (0.500, 0.500, 0.500)

The formation energy comes out at -0.084 eV/atom. For the density of states at the Fermi level, the calculation gives 1.009 states/eV per atom.


VASP calculation (GGA-PBE) on an optimized crystal structure of Hf4AuC2.

abc: 5.907 5.907 11.916
angles: 90.00 90.00 146.80
Sites, in units of the cell vectors:
Hf (0.000, 0.000, 0.000)
Hf (0.000, 0.000, 0.500)
Hf (0.262, 0.738, 0.606)
Hf (0.262, 0.738, 0.894)
Hf (0.420, 0.580, 0.250)
Hf (0.580, 0.420, 0.750)
Hf (0.738, 0.262, 0.106)
Hf (0.738, 0.262, 0.394)
Au (0.109, 0.891, 0.250)
Au (0.891, 0.109, 0.750)
C (0.364, 0.636, 0.059)
C (0.364, 0.636, 0.441)
C (0.636, 0.364, 0.559)
C (0.636, 0.364, 0.941)

The formation energy comes out at -0.727 eV/atom. For the density of states at the Fermi level, the calculation gives 0.454 states/eV per atom.


VASP calculation (GGA-PBE) on an optimized crystal structure of Ni2HgRh.

abc: 4.574 4.574 2.805
angles: 90.00 90.00 105.17
Sites, in units of the cell vectors:
Ni (0.000, 0.500, 0.000)
Ni (0.500, 0.000, 0.000)
Hg (0.000, 0.000, 0.500)
Rh (0.500, 0.500, 0.500)

The formation energy comes out at 0.223 eV/atom. For the density of states at the Fermi level, the calculation gives 1.581 states/eV per atom.


VASP calculation (GGA-PBE) on an optimized crystal structure of KAlCdPd2.

abc: 5.069 5.069 5.645
angles: 90.00 90.00 90.00
Sites, in units of the cell vectors:
K (0.000, 0.000, 0.000)
Al (0.500, 0.500, 0.500)
Cd (0.000, 0.000, 0.500)
Pd (0.000, 0.500, 0.000)
Pd (0.500, 0.000, 0.000)

The formation energy comes out at 1.227 eV/atom. For the density of states at the Fermi level, the calculation gives 0.561 states/eV per atom.


VASP calculation (GGA-PBE) on an optimized crystal structure of LaSm3Ho2As6.

abc: 7.284 7.284 7.286
angles: 99.60 99.60 120.00
Sites, in units of the cell vectors:
La (0.000, 0.000, 0.000)
Sm (0.165, 0.835, 0.500)
Sm (0.500, 0.500, 0.500)
Sm (0.835, 0.165, 0.500)
Ho (0.333, 0.667, 0.000)
Ho (0.667, 0.333, 0.000)
As (0.083, 0.424, 0.248)
As (0.259, 0.259, 0.753)
As (0.424, 0.083, 0.248)
As (0.576, 0.917, 0.752)
As (0.741, 0.741, 0.247)
As (0.917, 0.576, 0.752)

The formation energy comes out at -1.523 eV/atom. For the density of states at the Fermi level, the calculation gives 0.131 states/eV per atom.


VASP calculation (GGA-PBE) on an optimized crystal structure of CeZn2Ru2.

abc: 9.159 8.565 5.048
angles: 80.04 67.09 32.88
Sites, in units of the cell vectors:
Ce (0.125, 0.125, 0.125)
Ce (0.875, 0.875, 0.875)
Zn (0.262, 0.262, 0.488)
Zn (0.488, 0.488, 0.262)
Zn (0.512, 0.512, 0.738)
Zn (0.738, 0.738, 0.512)
Ru (0.154, 0.596, 0.154)
Ru (0.404, 0.846, 0.404)
Ru (0.596, 0.154, 0.596)
Ru (0.846, 0.404, 0.846)

The formation energy comes out at -0.147 eV/atom. For the density of states at the Fermi level, the calculation gives 0.912 states/eV per atom.


VASP calculation (GGA-PBE) on an optimized crystal structure of K3Y3ScTe8.

abc: 9.926 9.926 9.926
angles: 51.91 51.91 51.91
Sites, in units of the cell vectors:
K (0.000, 0.500, 0.500)
K (0.500, 0.000, 0.500)
K (0.500, 0.500, 0.000)
Y (0.000, 0.000, 0.500)
Y (0.000, 0.500, 0.000)
Y (0.500, 0.000, 0.000)
Sc (0.500, 0.500, 0.500)
Te (0.237, 0.237, 0.237)
Te (0.245, 0.729, 0.729)
Te (0.271, 0.271, 0.755)
Te (0.271, 0.755, 0.271)
Te (0.729, 0.245, 0.729)
Te (0.729, 0.729, 0.245)
Te (0.755, 0.271, 0.271)
Te (0.763, 0.763, 0.763)

For the density of states at the Fermi level, the calculation gives 0.368 states/eV per atom. For the energy relative to the elements, uncorrected, the calculation gives -19.48 eV per formula unit.


VASP calculation (GGA-PBE) on an optimized crystal structure of UTiGa2.

abc: 9.809 9.809 9.809
angles: 17.26 17.26 17.26
Sites, in units of the cell vectors:
U (0.000, 0.000, 0.000)
Ti (0.500, 0.500, 0.500)
Ga (0.243, 0.243, 0.243)
Ga (0.757, 0.757, 0.757)

The formation energy comes out at -0.176 eV/atom. For the density of states at the Fermi level, the calculation gives 1.454 states/eV per atom.


VASP calculation (GGA-PBE) on an optimized crystal structure of NaYZrNi2.

abc: 4.563 4.563 4.800
angles: 90.00 90.00 90.00
Sites, in units of the cell vectors:
Na (0.000, 0.000, 0.000)
Y (0.000, 0.000, 0.500)
Zr (0.500, 0.500, 0.500)
Ni (0.000, 0.500, 0.000)
Ni (0.500, 0.000, 0.000)

The formation energy comes out at 1.092 eV/atom. For the density of states at the Fermi level, the calculation gives 1.112 states/eV per atom.


VASP calculation (GGA-PBE) on an optimized crystal structure of Mg2InAgAu5.

abc: 9.276 9.276 9.276
angles: 135.71 135.71 64.43
Sites, in units of the cell vectors:
Mg (0.139, 0.639, 0.779)
Mg (0.361, 0.139, 0.500)
Mg (0.639, 0.861, 0.500)
Mg (0.861, 0.361, 0.221)
In (0.250, 0.250, 0.000)
In (0.750, 0.750, 0.000)
Ag (0.250, 0.750, 0.500)
Ag (0.750, 0.250, 0.500)
Au (0.000, 0.000, 0.000)
Au (0.052, 0.219, 0.500)
Au (0.219, 0.719, 0.166)
Au (0.281, 0.448, 0.500)
Au (0.448, 0.948, 0.166)
Au (0.500, 0.500, 0.000)
Au (0.552, 0.052, 0.834)
Au (0.719, 0.552, 0.500)
Au (0.781, 0.281, 0.834)
Au (0.948, 0.781, 0.500)

The formation energy comes out at -0.073 eV/atom. For the density of states at the Fermi level, the calculation gives 0.328 states/eV per atom.


VASP calculation (GGA-PBE) on an optimized crystal structure of Ta2NiPt.

abc: 4.884 4.884 4.884
angles: 132.49 132.49 69.46
Sites, in units of the cell vectors:
Ta (0.250, 0.750, 0.500)
Ta (0.750, 0.250, 0.500)
Ni (0.000, 0.000, 0.000)
Pt (0.500, 0.500, 0.000)

The formation energy comes out at -0.407 eV/atom. For the density of states at the Fermi level, the calculation gives 0.871 states/eV per atom.


VASP calculation (GGA-PBE) on an optimized crystal structure of LaPm2Tm3.

abc: 6.676 6.676 9.007
angles: 97.90 97.90 95.31
Sites, in units of the cell vectors:
La (0.088, 0.912, 0.750)
La (0.912, 0.088, 0.250)
Pm (0.133, 0.623, 0.374)
Pm (0.377, 0.867, 0.126)
Pm (0.623, 0.133, 0.874)
Pm (0.867, 0.377, 0.626)
Tm (0.166, 0.335, 0.999)
Tm (0.335, 0.166, 0.499)
Tm (0.421, 0.579, 0.750)
Tm (0.579, 0.421, 0.250)
Tm (0.665, 0.834, 0.501)
Tm (0.834, 0.665, 0.001)

The formation energy comes out at 0.074 eV/atom. For the density of states at the Fermi level, the calculation gives 1.475 states/eV per atom. The value obtained for the polymorph energy (0 for the lowest one) is 0.00 eV/f.u.


VASP calculation (GGA-PBE) on an optimized crystal structure of ZrNbNi3.

abc: 4.493 4.493 4.493
angles: 90.00 90.00 90.00
Sites, in units of the cell vectors:
Zr (0.000, 0.000, 0.000)
Nb (0.500, 0.500, 0.500)
Ni (0.000, 0.000, 0.500)
Ni (0.000, 0.500, 0.000)
Ni (0.500, 0.000, 0.000)

The formation energy comes out at 1.122 eV/atom. For the density of states at the Fermi level, the calculation gives 0.761 states/eV per atom. The value obtained for the polymorph energy (0 for the lowest one) is 1.86 eV/f.u.


VASP calculation (GGA-PBE) on an optimized crystal structure of LaRhW.

abc: 2.954 2.954 7.733
angles: 90.00 90.00 120.00
Sites, in units of the cell vectors:
La (0.000, 0.000, 0.000)
Rh (0.667, 0.333, 0.361)
W (0.333, 0.667, 0.622)

The formation energy comes out at 0.426 eV/atom. For the density of states at the Fermi level, the calculation gives 1.225 states/eV per atom. The value obtained for the polymorph energy (0 for the lowest one) is 0.00 eV/f.u.


VASP calculation (GGA-PBE) on an optimized crystal structure of LiPuMnGa.

abc: 4.574 4.574 4.574
angles: 60.00 60.00 60.00
Sites, in units of the cell vectors:
Li (0.000, 0.000, 0.000)
Pu (0.250, 0.250, 0.250)
Mn (0.500, 0.500, 0.500)
Ga (0.750, 0.750, 0.750)

The formation energy comes out at -0.017 eV/atom. For the density of states at the Fermi level, the calculation gives 1.391 states/eV per atom.


VASP calculation (GGA-PBE) on an optimized crystal structure of SrPH.

abc: 4.277 4.679 6.332
angles: 90.00 97.07 90.00
Sites, in units of the cell vectors:
Sr (0.250, 0.250, 0.249)
Sr (0.750, 0.750, 0.751)
P (0.258, 0.250, 0.755)
P (0.742, 0.750, 0.245)
H (0.035, 0.750, 0.386)
H (0.965, 0.250, 0.614)

The value obtained for the polymorph energy (0 for the lowest one) is 0.00 eV/f.u.


VASP calculation (GGA-PBE) on an optimized crystal structure of HoSb2.

abc: 3.619 3.619 7.571
angles: 90.00 90.00 121.13
Sites, in units of the cell vectors:
Ho (0.000, 0.000, 0.000)
Sb (0.000, 0.500, 0.324)
Sb (0.500, 0.000, 0.676)

For the density of states at the Fermi level, the calculation gives 0.730 states/eV per atom. For the energy relative to the elements, uncorrected, the calculation gives -0.61 eV per formula unit.


VASP calculation (GGA-PBE) on an optimized crystal structure of LaHoS2O.

abc: 3.975 3.975 14.001
angles: 90.00 90.00 90.00
Sites, in units of the cell vectors:
La (0.250, 0.250, 0.091)
La (0.750, 0.750, 0.909)
Ho (0.250, 0.250, 0.619)
Ho (0.750, 0.750, 0.381)
S (0.250, 0.250, 0.410)
S (0.250, 0.250, 0.796)
S (0.750, 0.750, 0.204)
S (0.750, 0.750, 0.590)
O (0.250, 0.750, 0.000)
O (0.750, 0.250, 0.000)

For the density of states at the Fermi level, the calculation gives 0.118 states/eV per atom. For the energy relative to the elements, uncorrected, the calculation gives -12.81 eV per formula unit.


VASP calculation (GGA-PBE) on an optimized crystal structure of SrCd4Te.

abc: 6.194 6.194 6.194
angles: 60.00 60.00 60.00
Sites, in units of the cell vectors:
Sr (0.000, 0.000, 0.000)
Cd (0.375, 0.375, 0.375)
Cd (0.375, 0.375, 0.874)
Cd (0.375, 0.874, 0.375)
Cd (0.874, 0.375, 0.375)
Te (0.750, 0.750, 0.750)

For the density of states at the Fermi level, the calculation gives 0.410 states/eV per atom. For the energy relative to the elements, uncorrected, the calculation gives -1.32 eV per formula unit.


VASP calculation (GGA-PBE) on an optimized crystal structure of AcSmAl2Zn2.

abc: 4.585 4.585 7.961
angles: 90.00 90.00 120.00
Sites, in units of the cell vectors:
Ac (0.000, 0.000, 0.000)
Sm (0.000, 0.000, 0.500)
Al (0.333, 0.667, 0.285)
Al (0.667, 0.333, 0.715)
Zn (0.333, 0.667, 0.704)
Zn (0.667, 0.333, 0.296)

The formation energy comes out at -0.406 eV/atom. For the density of states at the Fermi level, the calculation gives 0.643 states/eV per atom.


VASP calculation (GGA-PBE) on an optimized crystal structure of BeNiRh2.

abc: 4.600 4.600 4.600
angles: 49.69 49.69 49.69
Sites, in units of the cell vectors:
Be (0.000, 0.000, 0.000)
Ni (0.189, 0.189, 0.189)
Rh (0.410, 0.410, 0.410)
Rh (0.619, 0.619, 0.619)

The formation energy comes out at 0.011 eV/atom. For the density of states at the Fermi level, the calculation gives 1.474 states/eV per atom.


VASP calculation (GGA-PBE) on an optimized crystal structure of AcDy2Ho2.

abc: 8.640 8.640 11.436
angles: 90.00 90.00 155.80
Sites, in units of the cell vectors:
Ac (0.099, 0.901, 0.500)
Ac (0.901, 0.099, 0.000)
Dy (0.207, 0.793, 0.052)
Dy (0.412, 0.588, 0.371)
Dy (0.588, 0.412, 0.871)
Dy (0.793, 0.207, 0.552)
Ho (0.258, 0.742, 0.789)
Ho (0.441, 0.559, 0.679)
Ho (0.559, 0.441, 0.179)
Ho (0.742, 0.258, 0.289)

The formation energy comes out at 0.156 eV/atom. For the density of states at the Fermi level, the calculation gives 1.330 states/eV per atom.


VASP calculation (GGA-PBE) on an optimized crystal structure of CaAcPm2.

abc: 6.010 6.010 6.010
angles: 60.00 60.00 60.00
Sites, in units of the cell vectors:
Ca (0.000, 0.000, 0.000)
Ac (0.500, 0.500, 0.500)
Pm (0.250, 0.250, 0.250)
Pm (0.750, 0.750, 0.750)

The formation energy comes out at 0.141 eV/atom. For the density of states at the Fermi level, the calculation gives 1.899 states/eV per atom. The value obtained for the polymorph energy (0 for the lowest one) is 0.34 eV/f.u.


VASP calculation (GGA-PBE) on an optimized crystal structure of CaLaMo.

abc: 3.575 3.575 7.731
angles: 90.00 90.00 120.00
Sites, in units of the cell vectors:
Ca (0.000, 0.000, 0.000)
La (0.667, 0.333, 0.449)
Mo (0.333, 0.667, 0.704)

The formation energy comes out at 0.671 eV/atom. For the density of states at the Fermi level, the calculation gives 0.942 states/eV per atom. The value obtained for the polymorph energy (0 for the lowest one) is 0.28 eV/f.u.